[1]
## BeFeNi2 (PBE)

Data for an optimized crystal structure of BeFeNi2.

Cell and atoms, written as extended XYZ:
```
4
Lattice="2.542 -3.232 0.000 2.542 3.232 0.000 0.000 0.000 2.536" Properties=species:S:1:pos:R:3 pbc="T T T"
Be 0.000 0.000 0.000
Fe 2.542 0.000 0.000
Ni 1.271 1.616 1.268
Ni 1.271 -1.616 1.268
```

Results
crystal system: orthorhombic
energy of formation from the pure elements: -0.134 eV per atom
symmetry: Cmmm, No. 65
magnetic moment: 3.28 μB/cell



[2]
## BeFe2Ni (PBE)

Data for an optimized crystal structure of BeFe2Ni.

Cell and atoms, written as extended XYZ:
```
4
Lattice="2.769 0.000 0.000 0.000 2.769 0.000 0.000 0.000 5.395" Properties=species:S:1:pos:R:3 pbc="T T T"
Be 0.000 0.000 0.000
Fe 0.000 0.000 2.646
Fe 1.385 1.385 1.258
Ni 1.385 1.385 4.155
```

Results
crystal system: tetragonal
energy of formation from the pure elements: -0.105 eV per atom
symmetry: P4mm, No. 99
magnetic moment: 4.70 μB/cell